# 1
## Ca2NiSe (PBE)

Data for a relaxed structure of Ca2NiSe.

Summary:
- Size of the total moment: 0.00 Bohr magnetons per cell
- Total energy: -3.98 eV/atom
- Uncorrected formation energy: -0.662 eV per atom
- Fermi-level density of states: 4.43 states/eV/cell

Cell and atoms, written as CIF:
```
data_Ca2NiSe
_symmetry_space_group_name_H-M 'I m m 2'
_symmetry_Int_Tables_number 44
_cell_length_a 3.842
_cell_length_b 4.096
_cell_length_c 12.072
_cell_angle_alpha 90.00
_cell_angle_beta 90.00
_cell_angle_gamma 90.00
loop_
_symmetry_equiv_pos_as_xyz
'x,y,z'
'-x,-y,z'
'-x,y,z'
'x,-y,z'
'x+1/2,y+1/2,z+1/2'
'-x+1/2,-y+1/2,z+1/2'
'-x+1/2,y+1/2,z+1/2'
'x+1/2,-y+1/2,z+1/2'
loop_
_atom_site_label
_atom_site_type_symbol
_atom_site_fract_x
_atom_site_fract_y
_atom_site_fract_z
Ca1 Ca 0.000 0.000 0.000
Ca2 Ca 0.000 0.500 0.237
Ni1 Ni 0.000 0.500 0.780
Se1 Se 0.000 0.000 0.424
```

# 2
## Pb2CN (PBE)

Data for a relaxed structure of Pb2CN.

Summary:
- Size of the total moment: 0.00 Bohr magnetons per cell
- Total energy: -5.05 eV/atom
- Uncorrected formation energy: 1.189 eV per atom
- Fermi-level density of states: 6.00 states/eV/cell

Cell and atoms, written as CIF:
```
data_Pb2CN
_symmetry_space_group_name_H-M 'I -4 2 d'
_symmetry_Int_Tables_number 122
_symmetry_space_group_name_Hall 'I -4 2bw'
_cell_length_a 5.416
_cell_length_b 5.416
_cell_length_c 10.901
_cell_angle_alpha 90.00
_cell_angle_beta 90.00
_cell_angle_gamma 90.00
loop_
_atom_site_label
_atom_site_type_symbol
_atom_site_fract_x
_atom_site_fract_y
_atom_site_fract_z
Pb1 Pb 0.249 0.250 0.125
C1 C 0.000 0.000 0.000
N1 N 0.000 0.000 0.500
```

# 3
## KCuBr2 (PBE)

Data for a relaxed structure of KCuBr2.

Summary:
- Size of the total moment: 0.00 Bohr magnetons per cell
- Total energy: -3.10 eV/atom
- Uncorrected formation energy: -0.965 eV per atom
- Fermi-level density of states: 0.00 states/eV/cell

Cell and atoms, written as CIF:
```
data_KCuBr2
_symmetry_space_group_name_H-M 'C 1 m 1'
_symmetry_Int_Tables_number 8
_cell_length_a 13.700
_cell_length_b 4.160
_cell_length_c 4.884
_cell_angle_alpha 90.00
_cell_angle_beta 99.50
_cell_angle_gamma 90.00
loop_
_symmetry_equiv_pos_as_xyz
'x,y,z'
'x,-y,z'
'x+1/2,y+1/2,z'
'x+1/2,-y+1/2,z'
loop_
_atom_site_label
_atom_site_type_symbol
_atom_site_fract_x
_atom_site_fract_y
_atom_site_fract_z
K1 K 0.000 0.000 0.000
Cu1 Cu 0.219 0.500 0.786
Br1 Br 0.056 0.500 0.527
Br2 Br 0.295 0.000 0.943
```

# 4
## CoAgI2 (PBE)

Data for a relaxed structure of CoAgI2.

Summary:
- Size of the total moment: 8.00 Bohr magnetons per cell
- Total energy: -3.14 eV/atom
- Uncorrected formation energy: 0.128 eV per atom
- Fermi-level density of states: 35.67 states/eV/cell

Cell and atoms, written as CIF:
```
data_CoAgI2
_symmetry_space_group_name_H-M 'I -4 2 d'
_symmetry_Int_Tables_number 122
_symmetry_space_group_name_Hall 'I -4 2bw'
_cell_length_a 6.378
_cell_length_b 6.378
_cell_length_c 12.112
_cell_angle_alpha 90.00
_cell_angle_beta 90.00
_cell_angle_gamma 90.00
loop_
_atom_site_label
_atom_site_type_symbol
_atom_site_fract_x
_atom_site_fract_y
_atom_site_fract_z
Co1 Co 0.000 0.000 0.000
Ag1 Ag 0.000 0.000 0.500
I1 I 0.212 0.250 0.125
```

# 5
## NbIn2AgS (PBE)

Data for a relaxed structure of NbIn2AgS.

Summary:
- Size of the total moment: 0.00 Bohr magnetons per cell
- Total energy: -3.99 eV/atom
- Uncorrected formation energy: 0.518 eV per atom
- Fermi-level density of states: 2.38 states/eV/cell

Cell and atoms, written as CIF:
```
data_NbIn2AgS
_symmetry_space_group_name_H-M 'P 4/m m m'
_symmetry_Int_Tables_number 123
_symmetry_space_group_name_Hall '-P 4 2'
_cell_length_a 5.186
_cell_length_b 5.186
_cell_length_c 4.565
_cell_angle_alpha 90.00
_cell_angle_beta 90.00
_cell_angle_gamma 90.00
loop_
_atom_site_label
_atom_site_type_symbol
_atom_site_fract_x
_atom_site_fract_y
_atom_site_fract_z
Nb1 Nb 0.000 0.000 0.000
In1 In 0.000 0.500 0.500
Ag1 Ag 0.500 0.500 0.000
S1 S 0.000 0.000 0.500
```

# 6
## InSb2TeAs (PBE)

Data for a relaxed structure of InSb2TeAs.

Summary:
- Size of the total moment: 0.00 Bohr magnetons per cell
- Total energy: -3.28 eV/atom
- Uncorrected formation energy: 0.476 eV per atom
- Fermi-level density of states: 5.97 states/eV/cell

Cell and atoms, written as CIF:
```
data_InSb2TeAs
_symmetry_space_group_name_H-M 'P 4/m m m'
_symmetry_Int_Tables_number 123
_symmetry_space_group_name_Hall '-P 4 2'
_cell_length_a 5.515
_cell_length_b 5.515
_cell_length_c 5.808
_cell_angle_alpha 90.00
_cell_angle_beta 90.00
_cell_angle_gamma 90.00
loop_
_atom_site_label
_atom_site_type_symbol
_atom_site_fract_x
_atom_site_fract_y
_atom_site_fract_z
In1 In 0.000 0.000 0.000
Sb1 Sb 0.000 0.500 0.500
Te1 Te 0.500 0.500 0.000
As1 As 0.500 0.500 0.500
```

> Which of these has the highest size of the total moment?

CoAgI2

> Which value of total energy does entry 2 give?

-5.05 eV/atom

Copy entry 5 word for word.
## NbIn2AgS (PBE)

Data for a relaxed structure of NbIn2AgS.

Summary:
- Size of the total moment: 0.00 Bohr magnetons per cell
- Total energy: -3.99 eV/atom
- Uncorrected formation energy: 0.518 eV per atom
- Fermi-level density of states: 2.38 states/eV/cell

Cell and atoms, written as CIF:
```
data_NbIn2AgS
_symmetry_space_group_name_H-M 'P 4/m m m'
_symmetry_Int_Tables_number 123
_symmetry_space_group_name_Hall '-P 4 2'
_cell_length_a 5.186
_cell_length_b 5.186
_cell_length_c 4.565
_cell_angle_alpha 90.00
_cell_angle_beta 90.00
_cell_angle_gamma 90.00
loop_
_atom_site_label
_atom_site_type_symbol
_atom_site_fract_x
_atom_site_fract_y
_atom_site_fract_z
Nb1 Nb 0.000 0.000 0.000
In1 In 0.000 0.500 0.500
Ag1 Ag 0.500 0.500 0.000
S1 S 0.000 0.000 0.500
```